Density functional theory data (PBE-GGA) for a geometry-optimized TmScMnAg structure.

Summary:
The total DFT energy (no corrections) comes out at -22.85 eV/f.u.

Lattice parameters (Å, degrees): 6.9292 6.9292 6.9292 90.00 90.00 90.00
Closest atoms and distances in Å follow each position.
Space group F-43m (No. 216)
Asymmetric unit:
Tm: 0.0000 0.0000 0.0000 (multiplicity 4)  4 Mn 3.00, 4 Ag 3.00
Sc: 0.0000 0.0000 0.5000 (multiplicity 4)  4 Mn 3.00, 4 Ag 3.00
Mn: 0.2500 0.2500 0.2500 (multiplicity 4)  4 Tm 3.00, 4 Sc 3.00
Ag: 0.2500 0.2500 0.7500 (multiplicity 4)  4 Tm 3.00, 4 Sc 3.00